1.
An optimized crystal structure of LiInSeBr2. Source: Alexandria, functional GGA-PBE.

Output
Space-group type: P4/mmm
Energy relative to the elements, uncorrected (kcal/mol of atoms): -12.26

Cell: 5.591 5.591 5.234 Å, 90.00 90.00 90.00°
Fractional positions:
Li1 0.000 0.000 0.000
In1 0.500 0.500 0.500
Se1 0.500 0.500 0.000
Br1 0.000 0.500 0.500
Br2 0.500 0.000 0.500


2.
An optimized crystal structure of TlPRuS2. Source: Alexandria, functional GGA-PBE.

Output
Space-group type: P4/mmm
Energy relative to the elements, uncorrected (kcal/mol of atoms): 39.48

Cell: 4.981 4.981 4.980 Å, 90.00 90.00 90.00°
Fractional positions:
Tl1 0.000 0.000 0.000
P1 0.000 0.000 0.500
Ru1 0.500 0.500 0.500
S1 0.000 0.500 0.000
S2 0.500 0.000 0.000


3.
An optimized crystal structure of NpNbMo2. Source: Alexandria, functional GGA-PBE.

Output
Space-group type: P4/mmm
DFT formation energy (eV/atom): 0.20

Cell: 3.286 3.286 6.589 Å, 90.00 90.00 90.00°
Fractional positions:
Np1 0.000 0.000 0.000
Nb1 0.000 0.000 0.500
Mo1 0.500 0.500 0.252
Mo2 0.500 0.500 0.748


4.
An optimized crystal structure of TlIn2Cu. Source: Alexandria, functional GGA-PBE.

Output
Space-group type: P4mm
DFT formation energy (eV/atom): 0.13

Cell: 3.282 3.282 8.876 Å, 90.00 90.00 90.00°
Fractional positions:
Tl1 0.000 0.000 0.000
In1 0.000 0.000 0.400
In2 0.500 0.500 0.684
Cu1 0.500 0.500 0.221


5.
An optimized crystal structure of InAgGe. Source: Alexandria, functional GGA-PBE.

Output
Space-group type: P-1
DFT formation energy (eV/atom): 0.17

Cell: 4.224 5.776 6.300 Å, 65.61 70.46 89.83°
Fractional positions:
In1 0.172 0.163 0.155
In2 0.828 0.837 0.845
Ag1 0.479 0.226 0.541
Ag2 0.521 0.774 0.459
Ge1 0.126 0.607 0.249
Ge2 0.874 0.393 0.751


6.
An optimized crystal structure of LiMg3Au. Source: Alexandria, functional GGA-PBE.

Output
Space-group type: Pm-3m
DFT formation energy (eV/atom): -0.36

Cell: 6.659 6.659 6.659 Å, 90.00 90.00 90.00°
Fractional positions:
Li1 0.000 0.000 0.500
Li2 0.000 0.500 0.000
Li3 0.500 0.000 0.000
Mg1 0.000 0.000 0.000
Mg2 0.267 0.267 0.267
Mg3 0.267 0.267 0.733
Mg4 0.267 0.733 0.267
Mg5 0.267 0.733 0.733
Mg6 0.733 0.267 0.267
Mg7 0.733 0.267 0.733
Mg8 0.733 0.733 0.267
Mg9 0.733 0.733 0.733
Au1 0.000 0.500 0.500
Au2 0.500 0.000 0.500
Au3 0.500 0.500 0.000


What did we get for calculated volume? Answer: 164, 124, 71, 96, 130, 295 Å³/cell, in the order shown.
What did we get for density of states at the Fermi level? Answer: 3.87, 6.42, 5.21, 1.29, 1.08, 2.19 states/eV/f.u., in the order shown.
What did we get for raw total energy? Answer: -14.14, -16.75, -43.86, -11.42, -19.41, -35.28 eV per cell, in the order shown.